# 1
## RbGe2Bi2 (GGA-PBE)

Data for an optimized crystal structure of RbGe2Bi2.

Output
- Volume: 164 Å³ per cell
- Relative energy among the computed polymorphs: 13 meV per atom
- D(E_F): 0.77 states/eV/atom
- ΔH_f (0 K): -18 meV/atom

Cell lengths 5.278, 5.278, 6.964 Å; angles 67.73, 67.73, 90.00 degrees
Positions (direct):
Bi 0.750 0.250 0.500
Bi 0.250 0.750 0.500
Ge 0.620 0.620 0.761
Ge 0.380 0.380 0.239
Rb 0.000 0.000 0.000


# 2
## K3Li5 (GGA-PBE)

Data for an optimized crystal structure of K3Li5.

Output
- Volume: 619 Å³ per cell
- Relative energy among the computed polymorphs: 0 meV per atom
- D(E_F): 0.40 states/eV/atom
- ΔH_f (0 K): 127 meV/atom

Cell lengths 9.691, 9.691, 9.903 Å; angles 99.78, 99.78, 132.74 degrees
Positions (direct):
K 0.242 0.242 0.001
K 0.741 0.742 0.999
K 0.991 0.492 0.978
K 0.512 0.491 0.500
K 0.990 0.013 0.500
K 0.512 0.013 0.022
Li 0.660 0.976 0.683
Li 0.749 0.250 0.500
Li 0.471 0.790 0.317
Li 0.475 0.159 0.682
Li 0.030 0.711 0.681
Li 0.289 0.971 0.318
Li 0.252 0.752 0.500
Li 0.210 0.530 0.682
Li 0.844 0.527 0.319
Li 0.025 0.343 0.318


# 3
## YTe (GGA-PBE)

Data for an optimized crystal structure of YTe.

Output
- Volume: 537 Å³ per cell
- D(E_F): 1.03 states/eV/atom
- DFT total energy: -5.72 eV/atom

Cell lengths 4.932, 4.932, 25.501 Å; angles 90.00, 90.00, 120.00 degrees
Site moments in Bohr magnetons follow the coordinates.
Positions (direct):
Y 0.000 0.000 0.210  0.23
Y 0.667 0.333 0.456  0.23
Y 0.000 0.000 0.790  0.23
Y 0.333 0.667 0.544  0.23
Y 0.667 0.333 0.878  0.23
Y 0.333 0.667 0.122  0.23
Te 0.000 0.000 0.085  -0.02
Te 0.333 0.667 0.246  -0.02
Te 0.667 0.333 0.580  -0.02
Te 0.667 0.333 0.754  -0.02
Te 0.000 0.000 0.915  -0.02
Te 0.333 0.667 0.420  -0.02